Material: TmAlCu2
Method: DFT, GGA-PBE
State: relaxed

a b c (Å): 3.453 4.431 4.431
angles (deg): 90.00 90.00 90.00
Fractional coordinates of all 4 atoms:
Tm 0.500 0.500 0.500
Cu 0.000 0.500 0.000
Al 0.500 0.000 0.000
Cu 0.000 0.000 0.500

Properties
* ΔE_f: -0.182 eV per atom



Material: LaTb4Y10
Method: DFT, GGA-PBE
State: relaxed

a b c (Å): 6.558 9.690 9.690
angles (deg): 83.43 70.22 70.22
Fractional coordinates of all 15 atoms:
Y 0.621 0.422 0.837
Y 0.043 0.837 0.578
Tb 0.328 0.239 0.105
Y 0.379 0.578 0.163
Y 0.957 0.163 0.422
Tb 0.672 0.761 0.895
Y 0.120 0.422 0.837
Tb 0.567 0.105 0.761
Tb 0.433 0.895 0.239
Y 0.542 0.837 0.578
Y 0.458 0.163 0.422
La 0.000 0.000 0.000
Y 0.250 0.500 0.500
Y 0.880 0.578 0.163
Y 0.750 0.500 0.500

Properties
* ΔE_f: 0.556 eV per atom



Material: As2BrO
Method: DFT, GGA-PBE
State: relaxed

a b c (Å): 4.985 4.985 7.828
angles (deg): 71.43 71.43 90.00
Fractional coordinates of all 8 atoms:
Br 0.750 0.250 0.500
As 0.463 0.125 0.250
As 0.287 0.625 0.250
O 0.500 0.500 0.000
As 0.875 0.713 0.750
Br 0.000 0.000 0.000
O 0.250 0.750 0.500
As 0.375 0.537 0.750

Properties
* uncorrected formation energy: 0.02 eV/f.u.
* E above lowest polymorph: 0 meV/atom



Material: CoCu2Rh2
Method: DFT, GGA-PBE
State: relaxed

a b c (Å): 6.704 6.704 3.018
angles (deg): 90.00 90.00 90.00
Fractional coordinates of all 10 atoms:
Cu 0.868 0.632 0.000
Cu 0.632 0.132 0.000
Rh 0.333 0.167 0.500
Co 0.500 0.500 0.000
Rh 0.667 0.833 0.500
Rh 0.833 0.333 0.500
Co 0.000 0.000 0.000
Cu 0.368 0.868 0.000
Cu 0.132 0.368 0.000
Rh 0.167 0.667 0.500

Properties
* ΔE_f: 0.369 eV per atom
* E above lowest polymorph: 0 meV/atom



Material: MnTc2
Method: DFT, GGA-PBE
State: relaxed

a b c (Å): 11.683 11.683 11.683
angles (deg): 166.83 166.83 18.66
Fractional coordinates of all 6 atoms:
Tc 0.575 0.575 0.000
Mn 0.000 0.000 0.000
Tc 0.425 0.425 0.000
Mn 0.750 0.250 0.500
Tc 0.325 0.825 0.500
Tc 0.175 0.675 0.500

Properties
* ΔE_f: 0.256 eV per atom
* E above lowest polymorph: 255 meV/atom